# ScTl3F, optimized geometry, DFT PBE-GGA
data_ScTl3F
_cell_length_a 5.798
_cell_length_b 5.798
_cell_length_c 5.798
_cell_angle_alpha 90.00
_cell_angle_beta 90.00
_cell_angle_gamma 90.00
_space_group_name_H-M_alt 'P m -3 m'
_space_group_IT_number 221
_space_group_name_Hall '-P 4 2 3'
loop_
_atom_site_label
_atom_site_type_symbol
_atom_site_fract_x
_atom_site_fract_y
_atom_site_fract_z
_atom_site_occupancy
Sc1 Sc 0.000 0.000 0.000 1
Tl1 Tl 0.000 0.000 0.500 1
F1 F 0.500 0.500 0.500 1
# * excess energy over the best structure of this formula in the dataset: 0.520 eV/atom
# * E_form (uncorrected): 0.07 eV per atom